# Li2TePb PBE-GGA relaxed
data_Li2TePb
_cell_length_a 5.313
_cell_length_b 5.313
_cell_length_c 5.313
_cell_angle_alpha 60.00
_cell_angle_beta 60.00
_cell_angle_gamma 60.00
_space_group_name_H-M_alt 'P 1'
_space_group_IT_number 1
loop_
_space_group_symop_operation_xyz
'x,y,z'
loop_
_atom_site_label
_atom_site_type_symbol
_atom_site_fract_x
_atom_site_fract_y
_atom_site_fract_z
Pb1 Pb 0.500 0.500 0.500
Li1 Li 0.250 0.250 0.250
Li2 Li 0.000 0.000 0.000
Te1 Te 0.750 0.750 0.750
# * total magnetization: 0.000 μB per cell
# * formation energy from raw total energies: -200 meV per atom



# NiRuSe PBE-GGA relaxed
data_NiRuSe
_cell_length_a 3.995
_cell_length_b 3.995
_cell_length_c 3.995
_cell_angle_alpha 60.00
_cell_angle_beta 60.00
_cell_angle_gamma 60.00
_space_group_name_H-M_alt 'P 1'
_space_group_IT_number 1
loop_
_space_group_symop_operation_xyz
'x,y,z'
loop_
_atom_site_label
_atom_site_type_symbol
_atom_site_fract_x
_atom_site_fract_y
_atom_site_fract_z
Se1 Se 0.750 0.750 0.750
Ru1 Ru 0.500 0.500 0.500
Ni1 Ni 0.000 0.000 0.000
# * total magnetization: 0.000 μB per cell
# * formation energy from raw total energies: 152 meV per atom



# Nd3BiPt PBE-GGA relaxed
data_Nd3BiPt
_cell_length_a 5.578
_cell_length_b 7.021
_cell_length_c 9.789
_cell_angle_alpha 114.27
_cell_angle_beta 89.96
_cell_angle_gamma 113.52
_space_group_name_H-M_alt 'P 1'
_space_group_IT_number 1
loop_
_space_group_symop_operation_xyz
'x,y,z'
loop_
_atom_site_label
_atom_site_type_symbol
_atom_site_fract_x
_atom_site_fract_y
_atom_site_fract_z
Nd1 Nd 0.870 0.738 0.728
Nd2 Nd 0.130 0.262 0.272
Nd3 Nd 0.865 0.727 0.335
Nd4 Nd 0.135 0.273 0.665
Nd5 Nd 0.370 0.739 0.069
Nd6 Nd 0.630 0.261 0.931
Pt1 Pt 0.885 0.770 0.039
Pt2 Pt 0.115 0.230 0.961
Bi1 Bi 0.397 0.791 0.569
Bi2 Bi 0.603 0.209 0.431
# * total magnetization: 0.000 μB per cell
# * formation energy from the elements: -0.7231 eV per atom



# LaTbCdOs PBE-GGA relaxed
data_LaTbCdOs
_cell_length_a 5.156
_cell_length_b 5.156
_cell_length_c 5.156
_cell_angle_alpha 60.00
_cell_angle_beta 60.00
_cell_angle_gamma 60.00
_space_group_name_H-M_alt 'P 1'
_space_group_IT_number 1
loop_
_space_group_symop_operation_xyz
'x,y,z'
loop_
_atom_site_label
_atom_site_type_symbol
_atom_site_fract_x
_atom_site_fract_y
_atom_site_fract_z
La1 La 0.000 0.000 0.000
Os1 Os 0.250 0.250 0.250
Tb1 Tb 0.500 0.500 0.500
Cd1 Cd 0.750 0.750 0.750
# * total magnetization: 0.000 μB per cell
# * formation energy from the elements: -0.1024 eV per atom



# KReTe PBE-GGA relaxed
data_KReTe
_cell_length_a 6.983
_cell_length_b 6.983
_cell_length_c 3.431
_cell_angle_alpha 75.78
_cell_angle_beta 75.78
_cell_angle_gamma 28.44
_space_group_name_H-M_alt 'P 1'
_space_group_IT_number 1
loop_
_space_group_symop_operation_xyz
'x,y,z'
loop_
_atom_site_label
_atom_site_type_symbol
_atom_site_fract_x
_atom_site_fract_y
_atom_site_fract_z
K1 K 0.995 0.995 0.005
Te1 Te 0.709 0.709 0.291
Re1 Re 0.296 0.296 0.704
# * total magnetization: 0.000 μB per cell
# * formation energy from raw total energies: 569 meV per atom



# LiTaCu2 PBE-GGA relaxed
data_LiTaCu2
_cell_length_a 4.208
_cell_length_b 4.208
_cell_length_c 4.208
_cell_angle_alpha 120.07
_cell_angle_beta 120.07
_cell_angle_gamma 89.89
_space_group_name_H-M_alt 'P 1'
_space_group_IT_number 1
loop_
_space_group_symop_operation_xyz
'x,y,z'
loop_
_atom_site_label
_atom_site_type_symbol
_atom_site_fract_x
_atom_site_fract_y
_atom_site_fract_z
Cu1 Cu 0.000 0.000 0.000
Cu2 Cu 0.250 0.750 0.500
Li1 Li 0.500 0.500 0.000
Ta1 Ta 0.750 0.250 0.500
# * total magnetization: 0.000 μB per cell
# * formation energy from the elements: 0.2489 eV per atom